(1)
Entry from the Alexandria database: a relaxed structure of Sn3O2F2 (PBE-GGA).

Unit cell a=5.593 b=6.818 c=15.964 alpha=90.00 beta=90.00 gamma=90.00
Atoms (fractional coordinates):
Sn: 0.750 0.840 0.966
Sn: 0.750 0.660 0.466
Sn: 0.750 0.329 0.900
Sn: 0.250 0.512 0.324
Sn: 0.250 0.988 0.824
Sn: 0.250 0.671 0.100
Sn: 0.250 0.340 0.534
Sn: 0.250 0.160 0.034
Sn: 0.750 0.488 0.676
Sn: 0.250 0.829 0.600
Sn: 0.750 0.171 0.400
Sn: 0.750 0.012 0.176
F: 0.750 0.150 0.531
F: 0.250 0.266 0.773
F: 0.250 0.650 0.969
F: 0.750 0.350 0.031
F: 0.250 0.234 0.273
F: 0.750 0.734 0.227
F: 0.250 0.850 0.469
F: 0.750 0.766 0.727
O: 0.500 0.413 0.421
O: 0.500 0.087 0.921
O: 0.000 0.913 0.079
O: 0.500 0.913 0.079
O: 0.500 0.587 0.579
O: 0.000 0.087 0.921
O: 0.000 0.413 0.421
O: 0.000 0.587 0.579

Calculated values
**E**: -5.337 eV/atom
**E_form (uncorrected)**: -1670.3 meV/atom
**V**: 609 Å³ per cell
**Size of the total moment**: 0.0 μB per cell


(2)
Entry from the Alexandria database: a relaxed structure of SnOF2 (PBE-GGA).

Unit cell a=4.142 b=4.142 c=4.142 alpha=60.00 beta=60.00 gamma=60.00
Each line ends with the local moment (μB).
Atoms (fractional coordinates):
F: 0.750 0.750 0.750  -0.17
F: 0.250 0.250 0.250  -0.17
O: 0.000 0.000 0.000  -1.20
Sn: 0.500 0.500 0.500  -0.20

Calculated values
**E**: -4.083 eV/atom
**E_form (uncorrected)**: -906.7 meV/atom
**V**: 50 Å³ per cell
**Size of the total moment**: 2.0 μB per cell


(3)
Entry from the Alexandria database: a relaxed structure of Sn3OF (PBE-GGA).

Unit cell a=4.842 b=4.842 c=4.842 alpha=90.00 beta=90.00 gamma=90.00
Atoms (fractional coordinates):
Sn: 0.000 0.000 0.500
Sn: 0.000 0.500 0.000
Sn: 0.500 0.000 0.000
F: 0.500 0.500 0.500
O: 0.000 0.000 0.000

Calculated values
**E**: -4.243 eV/atom
**E_form (uncorrected)**: -475.0 meV/atom
**V**: 113 Å³ per cell
**Size of the total moment**: 0.0 μB per cell


(4)
Entry from the Alexandria database: a relaxed structure of SnO2F5 (PBE-GGA).

Unit cell a=4.182 b=5.583 c=6.348 alpha=93.20 beta=70.77 gamma=67.95
Each line ends with the local moment (μB).
Atoms (fractional coordinates):
O: 0.238 0.500 0.500  0.40
O: 0.956 0.500 0.500  0.48
F: 0.197 0.618 0.836  -0.03
F: 0.421 0.000 0.000  0.00
F: 0.011 0.106 0.708  0.00
F: 0.826 0.894 0.292  0.00
F: 0.651 0.382 0.164  -0.03
Sn: 0.922 0.000 0.000  0.00

Calculated values
**E**: -4.448 eV/atom
**E_form (uncorrected)**: -1538.1 meV/atom
**V**: 127 Å³ per cell
**Size of the total moment**: 1.0 μB per cell


(5)
Entry from the Alexandria database: a relaxed structure of Sn4OF6 (PBE-GGA).

Unit cell a=5.122 b=10.973 c=16.645 alpha=90.00 beta=90.00 gamma=90.00
Atoms (fractional coordinates):
F: 0.355 0.973 0.423
F: 0.147 0.219 0.793
F: 0.353 0.781 0.293
F: 0.724 0.228 0.534
F: 0.880 0.803 0.202
F: 0.120 0.303 0.298
F: 0.855 0.527 0.577
F: 0.810 0.121 0.378
F: 0.190 0.621 0.122
F: 0.855 0.227 0.040
F: 0.645 0.773 0.540
F: 0.224 0.272 0.466
F: 0.310 0.379 0.622
F: 0.355 0.273 0.960
F: 0.276 0.728 0.966
F: 0.380 0.697 0.798
F: 0.145 0.727 0.460
F: 0.647 0.281 0.207
F: 0.620 0.197 0.702
F: 0.645 0.473 0.077
F: 0.145 0.027 0.923
F: 0.690 0.879 0.878
F: 0.853 0.719 0.707
F: 0.776 0.772 0.034
O: 0.663 0.135 0.865
O: 0.337 0.635 0.635
O: 0.837 0.865 0.365
O: 0.163 0.365 0.135
Sn: 0.856 0.306 0.412
Sn: 0.951 0.029 0.809
Sn: 0.022 0.405 0.019
Sn: 0.474 0.796 0.689
Sn: 0.026 0.204 0.189
Sn: 0.974 0.704 0.311
Sn: 0.478 0.595 0.519
Sn: 0.356 0.194 0.588
Sn: 0.526 0.296 0.811
Sn: 0.144 0.806 0.088
Sn: 0.451 0.471 0.191
Sn: 0.549 0.971 0.309
Sn: 0.522 0.095 0.981
Sn: 0.978 0.905 0.481
Sn: 0.644 0.694 0.912
Sn: 0.049 0.529 0.691

Calculated values
**E**: -5.041 eV/atom
**E_form (uncorrected)**: -2113.5 meV/atom
**V**: 935 Å³ per cell
**Size of the total moment**: 0.0 μB per cell


(6)
Entry from the Alexandria database: a relaxed structure of SnOF2 (PBE-GGA).

Unit cell a=7.246 b=7.246 c=7.246 alpha=31.10 beta=31.10 gamma=31.10
Each line ends with the local moment (μB).
Atoms (fractional coordinates):
F: 0.877 0.877 0.877  0.05
F: 0.123 0.123 0.123  0.05
O: 0.000 0.000 0.000  1.50
Sn: 0.500 0.500 0.500  0.03

Calculated values
**E**: -4.005 eV/atom
**E_form (uncorrected)**: -829.2 meV/atom
**V**: 90 Å³ per cell
**Size of the total moment**: 2.0 μB per cell


(7)
Entry from the Alexandria database: a relaxed structure of Sn2OF2 (PBE-GGA).

Unit cell a=6.217 b=6.217 c=5.231 alpha=84.25 beta=84.25 gamma=81.73
Atoms (fractional coordinates):
O: 0.609 0.609 0.306
O: 0.391 0.391 0.694
Sn: 0.781 0.781 0.008
Sn: 0.704 0.296 0.500
Sn: 0.296 0.704 0.500
Sn: 0.219 0.219 0.992
F: 0.143 0.512 0.200
F: 0.488 0.857 0.800
F: 0.857 0.488 0.800
F: 0.512 0.143 0.200

Calculated values
**E**: -5.241 eV/atom
**E_form (uncorrected)**: -1899.6 meV/atom
**V**: 198 Å³ per cell
**Size of the total moment**: 0.0 μB per cell


(8)
Entry from the Alexandria database: a relaxed structure of Sn2OF2 (PBE-GGA).

Unit cell a=8.021 b=8.021 c=5.639 alpha=90.00 beta=90.00 gamma=90.00
Atoms (fractional coordinates):
Sn: 0.226 0.500 0.808
Sn: 0.274 0.000 0.692
Sn: 0.000 0.726 0.308
Sn: 0.500 0.226 0.192
Sn: 0.500 0.774 0.192
Sn: 0.774 0.500 0.808
Sn: 0.000 0.274 0.308
Sn: 0.726 0.000 0.692
F: 0.201 0.201 0.000
F: 0.701 0.299 0.500
F: 0.299 0.299 0.500
F: 0.799 0.201 0.000
F: 0.201 0.799 0.000
F: 0.299 0.701 0.500
F: 0.799 0.799 0.000
F: 0.701 0.701 0.500
O: 0.000 0.500 0.101
O: 0.500 0.000 0.399
O: 0.000 0.500 0.601
O: 0.500 0.000 0.899

Calculated values
**E**: -5.196 eV/atom
**E_form (uncorrected)**: -1854.8 meV/atom
**V**: 363 Å³ per cell
**Size of the total moment**: 0.0 μB per cell


(9)
Entry from the Alexandria database: a relaxed structure of SnO2F4 (PBE-GGA).

Unit cell a=3.506 b=3.565 c=8.667 alpha=100.02 beta=101.67 gamma=90.00
Each line ends with the local moment (μB).
Atoms (fractional coordinates):
F: 0.429 0.931 0.857  0.00
F: 0.929 0.434 0.859  0.00
F: 0.071 0.566 0.141  0.00
F: 0.571 0.069 0.143  0.00
O: 0.268 0.348 0.535  1.63
O: 0.732 0.652 0.465  1.63
Sn: 0.000 0.000 0.000  0.00

Calculated values
**E**: -3.951 eV/atom
**E_form (uncorrected)**: -893.7 meV/atom
**V**: 104 Å³ per cell
**Size of the total moment**: 4.0 μB per cell


(10)
Entry from the Alexandria database: a relaxed structure of SnOF2 (PBE-GGA).

Unit cell a=3.408 b=3.408 c=8.063 alpha=77.80 beta=77.80 gamma=90.00
Atoms (fractional coordinates):
F: 0.875 0.905 0.750
F: 0.655 0.125 0.250
F: 0.375 0.345 0.750
F: 0.095 0.625 0.250
O: 0.500 0.500 0.000
O: 0.250 0.750 0.500
Sn: 0.000 0.000 0.000
Sn: 0.750 0.250 0.500

Calculated values
**E**: -4.323 eV/atom
**E_form (uncorrected)**: -1147.3 meV/atom
**V**: 89 Å³ per cell
**Size of the total moment**: 0.0 μB per cell


(11)
Entry from the Alexandria database: a relaxed structure of Sn13O10F6 (PBE-GGA).

Unit cell a=7.446 b=8.350 c=23.043 alpha=92.99 beta=89.99 gamma=116.51
Atoms (fractional coordinates):
F: 0.381 0.648 0.431
F: 0.745 0.725 0.781
F: 0.021 0.275 0.719
F: 0.265 0.647 0.931
F: 0.979 0.725 0.281
F: 0.311 0.919 0.640
F: 0.735 0.353 0.069
F: 0.619 0.352 0.569
F: 0.689 0.081 0.360
F: 0.255 0.275 0.219
F: 0.392 0.081 0.860
F: 0.608 0.919 0.140
Sn: 0.920 0.696 0.082
Sn: 0.420 0.691 0.850
Sn: 0.224 0.304 0.417
Sn: 0.271 0.691 0.350
Sn: 0.151 0.536 0.563
Sn: 0.729 0.309 0.650
Sn: 0.670 0.785 0.206
Sn: 0.080 0.304 0.918
Sn: 0.849 0.464 0.437
Sn: 0.776 0.696 0.583
Sn: 0.014 0.168 0.135
Sn: 0.986 0.832 0.865
Sn: 0.796 0.000 0.750
Sn: 0.385 0.536 0.063
Sn: 0.846 0.832 0.365
Sn: 0.265 0.078 0.011
Sn: 0.735 0.922 0.989
Sn: 0.188 0.922 0.489
Sn: 0.115 0.785 0.706
Sn: 0.885 0.215 0.294
Sn: 0.204 0.000 0.250
Sn: 0.615 0.464 0.937
Sn: 0.812 0.078 0.511
Sn: 0.580 0.309 0.150
Sn: 0.330 0.215 0.794
Sn: 0.154 0.168 0.635
O: 0.969 0.649 0.518
O: 0.321 0.352 0.982
O: 0.041 0.064 0.318
O: 0.346 0.407 0.862
O: 0.940 0.267 0.596
O: 0.977 0.936 0.182
O: 0.023 0.064 0.818
O: 0.061 0.407 0.362
O: 0.679 0.648 0.018
O: 0.673 0.733 0.904
O: 0.654 0.593 0.138
O: 0.025 0.020 0.942
O: 0.939 0.593 0.638
O: 0.060 0.733 0.404
O: 0.327 0.267 0.096
O: 0.995 0.021 0.442
O: 0.959 0.936 0.682
O: 0.005 0.979 0.558
O: 0.031 0.351 0.482
O: 0.975 0.980 0.058

Calculated values
**E**: -5.452 eV/atom
**E_form (uncorrected)**: -1561.2 meV/atom
**V**: 1280 Å³ per cell
**Size of the total moment**: 0.0 μB per cell


(12)
Entry from the Alexandria database: a relaxed structure of Sn3O2F2 (PBE-GGA).

Unit cell a=5.483 b=9.217 c=12.251 alpha=90.00 beta=90.00 gamma=90.00
Atoms (fractional coordinates):
Sn: 0.750 0.592 0.431
Sn: 0.750 0.294 0.916
Sn: 0.250 0.368 0.282
Sn: 0.250 0.706 0.084
Sn: 0.750 0.908 0.931
Sn: 0.250 0.132 0.782
Sn: 0.250 0.092 0.069
Sn: 0.750 0.206 0.416
Sn: 0.250 0.408 0.569
Sn: 0.750 0.632 0.718
Sn: 0.750 0.868 0.218
Sn: 0.250 0.794 0.584
F: 0.750 0.264 0.748
F: 0.250 0.155 0.342
F: 0.750 0.236 0.248
F: 0.250 0.764 0.752
F: 0.750 0.655 0.158
F: 0.250 0.345 0.842
F: 0.250 0.736 0.252
F: 0.750 0.845 0.658
O: 0.003 0.898 0.080
O: 0.503 0.102 0.920
O: 0.997 0.398 0.420
O: 0.503 0.398 0.420
O: 0.497 0.898 0.080
O: 0.497 0.602 0.580
O: 0.997 0.102 0.920
O: 0.003 0.602 0.580

Calculated values
**E**: -5.349 eV/atom
**E_form (uncorrected)**: -1682.4 meV/atom
**V**: 619 Å³ per cell
**Size of the total moment**: 0.0 μB per cell


(13)
Entry from the Alexandria database: a relaxed structure of SrSnO2F (PBE-GGA).

Unit cell a=4.602 b=4.602 c=4.527 alpha=90.00 beta=90.00 gamma=90.00
Atoms (fractional coordinates):
Sn: 0.500 0.500 0.500
O: 0.000 0.500 0.000
O: 0.500 0.000 0.000
F: 0.000 0.000 0.500
Sr: 0.000 0.000 0.000

Calculated values
**E**: -4.809 eV/atom
**E_form (uncorrected)**: -1314.2 meV/atom
**V**: 96 Å³ per cell
**Size of the total moment**: 0.0 μB per cell


(14)
Entry from the Alexandria database: a relaxed structure of SrSnOF2 (PBE-GGA).

Unit cell a=4.593 b=4.593 c=4.560 alpha=90.00 beta=90.00 gamma=90.00
Atoms (fractional coordinates):
F: 0.000 0.500 0.000
F: 0.500 0.000 0.000
Sr: 0.500 0.500 0.500
O: 0.000 0.000 0.500
Sn: 0.000 0.000 0.000

Calculated values
**E**: -5.003 eV/atom
**E_form (uncorrected)**: -2125.8 meV/atom
**V**: 96 Å³ per cell
**Size of the total moment**: 0.0 μB per cell


(15)
Entry from the Alexandria database: a relaxed structure of SrSnOF2 (PBE-GGA).

Unit cell a=4.519 b=4.519 c=4.955 alpha=90.00 beta=90.00 gamma=90.00
Atoms (fractional coordinates):
Sr: 0.000 0.000 0.000
O: 0.000 0.000 0.500
F: 0.500 0.000 0.000
F: 0.000 0.500 0.000
Sn: 0.500 0.500 0.500

Calculated values
**E**: -4.903 eV/atom
**E_form (uncorrected)**: -2025.7 meV/atom
**V**: 101 Å³ per cell
**Size of the total moment**: 0.0 μB per cell


(16)
Entry from the Alexandria database: a relaxed structure of SrSnO2F (PBE-GGA).

Unit cell a=4.323 b=4.323 c=4.421 alpha=90.00 beta=90.00 gamma=90.00
Atoms (fractional coordinates):
O: 0.500 0.000 0.000
O: 0.000 0.500 0.000
Sn: 0.000 0.000 0.000
F: 0.000 0.000 0.500
Sr: 0.500 0.500 0.500

Calculated values
**E**: -5.597 eV/atom
**E_form (uncorrected)**: -2102.5 meV/atom
**V**: 83 Å³ per cell
**Size of the total moment**: 0.0 μB per cell


(17)
Entry from the Alexandria database: a relaxed structure of SnTe2OF (PBE-GGA).

Unit cell a=4.660 b=5.049 c=4.660 alpha=90.00 beta=90.00 gamma=90.00
Atoms (fractional coordinates):
O: 0.000 0.500 0.000
Te: 0.500 0.000 0.000
Te: 0.000 0.000 0.500
F: 0.000 0.000 0.000
Sn: 0.500 0.500 0.500

Calculated values
**E**: -3.294 eV/atom
**E_form (uncorrected)**: 128.9 meV/atom
**V**: 110 Å³ per cell
**Size of the total moment**: 0.0 μB per cell


(18)
Entry from the Alexandria database: a relaxed structure of TiSnO2F (PBE-GGA).

Unit cell a=3.979 b=3.979 c=4.120 alpha=90.00 beta=90.00 gamma=90.00
Atoms (fractional coordinates):
Ti: 0.000 0.000 0.000
Sn: 0.500 0.500 0.500
F: 0.000 0.000 0.500
O: 0.000 0.500 0.000
O: 0.500 0.000 0.000

Calculated values
**E**: -6.859 eV/atom
**E_form (uncorrected)**: -2122.4 meV/atom
**V**: 65 Å³ per cell
**Size of the total moment**: 0.0 μB per cell


(19)
Entry from the Alexandria database: a relaxed structure of TiSnO2F (PBE-GGA).

Unit cell a=4.158 b=4.158 c=4.274 alpha=90.00 beta=90.00 gamma=90.00
Each line ends with the local moment (μB).
Atoms (fractional coordinates):
O: 0.000 0.500 0.000  0.00
O: 0.500 0.000 0.000  0.00
F: 0.000 0.000 0.500  0.00
Ti: 0.500 0.500 0.500  0.16
Sn: 0.000 0.000 0.000  0.00

Calculated values
**E**: -5.656 eV/atom
**E_form (uncorrected)**: -918.9 meV/atom
**V**: 74 Å³ per cell
**Size of the total moment**: 0.2 μB per cell